NbCr3N | PBE | optimized geometry

The structure belongs to space group Pm-3m (No. 221); the cell edges are 3.893, 3.893 and 3.893 Å and the angles 90.00°, 90.00° and 90.00°. The inequivalent atoms are Nb at (0.000, 0.000, 0.000), Cr at (0.000, 0.500, 0.500) and N at (0.500, 0.500, 0.500).

As for the magnetization: 0.37 μB per atom. As for the formation energy (no corrections): -202.8 meV/atom.


TaAlTe | PBE | optimized geometry

The structure belongs to space group R-3m (No. 166, hexagonal axes); the cell edges are 4.0117, 4.0117 and 30.7144 Å and the angles 90.00°, 90.00° and 120.00°. The inequivalent atoms are Ta at (0.0000, 0.0000, 0.0541), Al at (0.0000, 0.0000, 0.3354) and Te at (0.0000, 0.0000, 0.2227).

As for the magnetization: 0.00 μB per atom. As for the formation energy (no corrections): -30.5 meV/atom.


ScBeOs2 | PBE | optimized geometry

The structure belongs to space group Pmm2 (No. 25); the cell edges are 2.813, 3.845 and 5.411 Å and the angles 90.00°, 90.00° and 90.00°. The inequivalent atoms are Sc at (0.000, 0.000, 0.000), Be at (0.500, 0.500, 0.275), Os at (0.000, 0.000, 0.493) and Os at (0.500, 0.500, 0.715).

The energy relative to the elements comes out at -0.03 eV per formula unit. As for the magnetization: 0.00 μB per atom.


Cr2HRuPt | PBE | optimized geometry

The structure belongs to space group P4/mmm (No. 123); the cell edges are 3.818, 3.818 and 3.774 Å and the angles 90.00°, 90.00° and 90.00°. The inequivalent atoms are Cr at (0.000, 0.500, 0.000), H at (0.000, 0.000, 0.000), Ru at (0.000, 0.000, 0.500) and Pt at (0.500, 0.500, 0.500).

As for the magnetization: 0.24 μB per atom. The electronic total energy comes out at -7.655 eV per atom.